[1]
First-principles (GGA-PBE) data for crystalline CdSi2Pt at its relaxed geometry, as listed in the Alexandria database.

Computed properties:
E = -17.873 eV/cell
calculated volume = 18.37 A^3/atom
E_form (uncorrected) = -0.018 eV per atom
symmetry = Pm (6)

Cell lengths 3.5541, 3.6183, 5.8738 Å; angles 76.60, 90.00, 90.00 degrees
Closest atoms and distances in Å follow each position.
Sites, in units of the cell vectors:
Cd (0.0000, 0.4829, 0.5418)  1 Si 2.69, 4 Pt 2.88-2.90
Si (0.5000, 0.2981, 0.0901)  2 Pt 2.47-2.56, 4 Si 2.48-2.59
Pt (0.5000, 0.8958, 0.7851)  4 Si 2.47-2.56
Si (0.0000, 0.8231, 0.0831)  2 Pt 2.47, 4 Si 2.48-2.59, 1 Cd 2.69

[2]
First-principles (GGA-PBE) data for crystalline CdSiPt4 at its relaxed geometry, as listed in the Alexandria database.

Computed properties:
E = -32.850 eV/cell
calculated volume = 18.14 A^3/atom
excess energy over the best structure of this formula in the dataset = 0 meV per atom
E_form (uncorrected) = -0.391 eV per atom
symmetry = P4/mmm (123)

Cell lengths 3.9056, 3.9056, 7.1346 Å; angles 90.00, 90.00, 90.00 degrees
Closest atoms and distances in Å follow each position.
Sites, in units of the cell vectors:
Pt (0.0000, 0.5000, 0.2908)  2 Si 2.46
Si (0.5000, 0.5000, 0.5000)  8 Pt 2.46
Pt (0.5000, 0.0000, 0.7092)  2 Si 2.46
Pt (0.0000, 0.5000, 0.7092)  2 Si 2.46
Cd (0.0000, 0.0000, 0.0000)  8 Pt 2.85
Pt (0.5000, 0.0000, 0.2908)  2 Si 2.46

[3]
First-principles (GGA-PBE) data for crystalline Cd2SiPt at its relaxed geometry, as listed in the Alexandria database.

Computed properties:
E = -12.776 eV/cell
calculated volume = 18.59 A^3/atom
E_form (uncorrected) = 0.130 eV per atom
symmetry = R-3m (166)

Cell lengths 10.3051, 10.3051, 10.3051 Å; angles 16.21, 16.21, 16.21 degrees
Closest atoms and distances in Å follow each position.
Sites, in units of the cell vectors:
Cd (0.5053, 0.5053, 0.5053)  6 Cd 2.91, 3 Pt 2.91, 3 Si 3.18
Pt (0.2500, 0.2500, 0.2500)  6 Pt 2.91, 6 Cd 2.91
Si (0.7500, 0.7500, 0.7500)  6 Si 2.91, 6 Cd 3.18
Cd (0.9947, 0.9947, 0.9947)  6 Cd 2.91, 3 Pt 2.91, 3 Si 3.18

[4]
First-principles (GGA-PBE) data for crystalline CdSi2Pt at its relaxed geometry, as listed in the Alexandria database.

Computed properties:
E = -16.932 eV/cell
calculated volume = 16.67 A^3/atom
E_form (uncorrected) = 0.217 eV per atom
symmetry = Cmmm (65)

Cell lengths 4.8518, 4.8518, 3.0059 Å; angles 90.00, 90.00, 109.55 degrees
Closest atoms and distances in Å follow each position.
Sites, in units of the cell vectors:
Cd (0.5000, 0.0000, 0.5000)  2 Pt 2.80, 8 Si 2.85, 2 Cd 3.01
Pt (0.0000, 0.5000, 0.5000)  2 Cd 2.80, 8 Si 2.85, 2 Pt 3.01
Si (0.5000, 0.5000, 0.0000)  4 Si 2.80-3.01, 4 Cd 2.85, 4 Pt 2.85
Si (0.0000, 0.0000, 0.0000)  4 Si 2.80-3.01, 4 Pt 2.85, 4 Cd 2.85